Record 1
First-principles (PBE) data for crystalline ZrGeTe at its relaxed geometry, as listed in OQMD. Values from VASP.

Output
Space-group type: Pnma (62)
ρ: 7.568 Mg/m³
Calculated volume: 64.0 Å³/f.u.
Final energy: -5.964 eV per atom

Cell and atoms, written as Quantum ESPRESSO input:
```
&SYSTEM
  ibrav = 0, nat = 12, ntyp = 3
/
ATOMIC_SPECIES
Te 127.60 Te.upf
Zr 91.22 Zr.upf
Ge 72.64 Ge.upf
CELL_PARAMETERS angstrom
-0.2990 5.0514 -5.4714
-3.6960 -0.1800 0.0358
-0.2703 6.8052 6.2976
ATOMIC_POSITIONS angstrom
Te -1.2267 5.9824 -0.9416
Zr -1.1658 5.7368 4.1040
Zr -3.0995 5.9397 -3.2420
Te -0.9917 1.3051 -0.1970
Zr -2.9542 3.5198 -0.4084
Ge -1.0663 3.2817 2.0424
Ge -3.1373 8.0793 3.6006
Ge -1.1280 3.5973 -2.7385
Te -3.0386 5.6942 1.8037
Ge -3.1990 8.3949 -1.1804
Zr -1.3111 8.1568 1.2704
Te -3.2736 10.3715 1.0590
```

Record 2
First-principles (PBE) data for crystalline Dy7Pt2S2 at its relaxed geometry, as listed in OQMD. Values from VASP.

Output
Space-group type: Imm2 (44)
ρ: 9.901 Mg/m³
Calculated volume: 267.0 Å³/f.u.
Final energy: -5.958 eV per atom

Cell and atoms, written as Quantum ESPRESSO input:
```
&SYSTEM
  ibrav = 0, nat = 11, ntyp = 3
/
ATOMIC_SPECIES
Dy 162.50 Dy.upf
S 32.06 S.upf
Pt 195.08 Pt.upf
CELL_PARAMETERS angstrom
-1.9276 7.5126 4.6086
1.9276 -7.5126 4.6086
1.9276 7.5126 -4.6086
ATOMIC_POSITIONS angstrom
Dy 1.9276 1.9873 2.1665
Dy 1.9276 -5.7552 3.6363
Dy 0.0000 4.8142 0.9621
Dy 0.0000 10.2109 0.9621
Dy 1.9276 -1.9872 2.1665
S 0.0000 7.5126 2.1908
S 0.0000 0.0000 1.3503
Dy 0.0000 0.0000 4.5057
Pt 0.0000 3.6085 3.7111
Pt 1.9276 3.9040 -0.8976
Dy 1.9276 5.7552 3.6363
```

Record 3
First-principles (PBE) data for crystalline NdHo2Al3Ge2Pd at its relaxed geometry, as listed in OQMD. Values from VASP.

Output
Space-group type: Amm2 (38)
ρ: 7.292 Mg/m³
Calculated volume: 183.7 Å³/f.u.
Final energy: -5.197 eV per atom

Cell and atoms, written as Quantum ESPRESSO input:
```
&SYSTEM
  ibrav = 0, nat = 9, ntyp = 5
/
ATOMIC_SPECIES
Al 26.98 Al.upf
Nd 144.24 Nd.upf
Pd 106.42 Pd.upf
Ho 164.93 Ho.upf
Ge 72.64 Ge.upf
CELL_PARAMETERS angstrom
-4.2648 -0.4144 0.1261
0.1995 -3.8461 -5.8905
0.4906 -3.1379 6.2804
ATOMIC_POSITIONS angstrom
Al -1.5968 -4.2270 4.9682
Nd 0.2871 -2.9054 0.1622
Pd 0.6835 -6.9173 0.3862
Ho 0.2885 -1.8503 3.6779
Ho 0.1181 -2.2650 -3.4481
Ge -1.7354 -3.5975 2.3497
Al -1.6012 -5.5827 0.3632
Ge -1.8354 -3.8408 -1.8314
Al -1.8199 -4.7700 -4.3629
```